Entry 1:
Density functional theory data (GGA-PBE) for a relaxed structure of Er3AlPt12.

Lattice parameters (Å, degrees): 4.0713 4.0713 16.1177 90.00 90.00 90.00
Last column: nearest neighbours and their distance in Å.
Fractional coordinates of all 16 atoms:
Pt  0.0000  0.5000  0.8856  2 Al 2.75, 8 Pt 2.75-2.91, 2 Er 2.93
Pt  0.0000  0.5000  0.3720  8 Pt 2.88-2.91, 4 Er 2.89-2.90
Pt  0.5000  0.5000  0.7570  4 Er 2.88, 8 Pt 2.91
Pt  0.5000  0.5000  0.5000  4 Er 2.88, 8 Pt 2.90
Pt  0.5000  0.0000  0.8856  2 Al 2.75, 8 Pt 2.75-2.91, 2 Er 2.93
Er  0.0000  0.0000  0.5000  12 Pt 2.88-2.90
Pt  0.0000  0.5000  0.1144  2 Al 2.75, 8 Pt 2.75-2.91, 2 Er 2.93
Pt  0.5000  0.5000  0.2430  4 Er 2.88, 8 Pt 2.91
Al  0.0000  0.0000  0.0000  12 Pt 2.75-2.88
Pt  0.5000  0.0000  0.1144  2 Al 2.75, 8 Pt 2.75-2.91, 2 Er 2.93
Pt  0.5000  0.0000  0.3720  8 Pt 2.88-2.91, 4 Er 2.89-2.90
Pt  0.5000  0.5000  0.0000  8 Pt 2.75, 4 Al 2.88
Er  0.0000  0.0000  0.2449  12 Pt 2.88-2.93
Pt  0.5000  0.0000  0.6280  8 Pt 2.88-2.91, 4 Er 2.89-2.90
Er  0.0000  0.0000  0.7551  12 Pt 2.88-2.93
Pt  0.0000  0.5000  0.6280  8 Pt 2.88-2.91, 4 Er 2.89-2.90

Its total energy is -105.42 eV per formula unit. As for the density of states at the Fermi level: 0.9015 states/eV/atom. The value obtained for the energy of formation from the pure elements is -0.9686 eV/atom. The crystal system is tetragonal.


Entry 2:
Density functional theory data (GGA-PBE) for a relaxed structure of BaCaTbSbO6.

Lattice parameters (Å, degrees): 5.9716 5.9716 5.9716 60.00 60.00 60.00
Last column: nearest neighbours and their distance in Å.
Fractional coordinates of all 10 atoms:
O  0.2367  0.2367  0.7633  1 Sb 2.00, 1 Tb 2.22
Sb  0.0000  0.0000  0.0000  6 O 2.00
O  0.2367  0.7633  0.2367  1 Sb 2.00, 1 Tb 2.22
O  0.7633  0.2367  0.7633  1 Sb 2.00, 1 Tb 2.22
Tb  0.5000  0.5000  0.5000  6 O 2.22
O  0.7633  0.2367  0.2367  1 Sb 2.00, 1 Tb 2.22
Ba  0.7500  0.7500  0.7500  12 O 2.99
O  0.2367  0.7633  0.7633  1 Sb 2.00, 1 Tb 2.22
O  0.7633  0.7633  0.2367  1 Sb 2.00, 1 Tb 2.22
Ca  0.2500  0.2500  0.2500  12 O 2.99

The value obtained for the raw formation energy is -2.577 eV/atom. Its total energy is -68.20 eV per formula unit. As for the density of states at the Fermi level: 0.0000 states/eV/atom. The crystal system is cubic.


Entry 3:
Density functional theory data (GGA-PBE) for a relaxed structure of KPuAgO5.

Lattice parameters (Å, degrees): 6.2437 6.2437 8.1657 100.98 100.98 113.28
Last column: nearest neighbours and their distance in Å.
Fractional coordinates of all 16 atoms:
O  0.2619  0.3259  0.5721  1 Pu 1.93
Ag  0.3229  0.6771  0.7500  4 O 2.23
O  0.2367  0.8824  0.5723  1 Pu 1.94
O  0.1176  0.7633  0.9277  1 Pu 1.94
Pu  0.0000  0.0000  0.0000  6 O 1.93-2.12
Ag  0.6771  0.3229  0.2500  4 O 2.23
O  0.9439  0.0561  0.7500  2 Pu 2.12
O  0.7633  0.1176  0.4277  1 Pu 1.94
O  0.3259  0.2619  0.0721  1 Pu 1.93
K  0.3194  0.6806  0.2500  7 O 2.75-2.92
Pu  0.0000  0.0000  0.5000  6 O 1.93-2.12
O  0.6741  0.7381  0.9279  1 Pu 1.93
O  0.8824  0.2367  0.0723  1 Pu 1.94
O  0.7381  0.6741  0.4279  1 Pu 1.93
O  0.0561  0.9439  0.2500  2 Pu 2.12
K  0.6806  0.3194  0.7500  7 O 2.75-2.92

The value obtained for the raw formation energy is -1.650 eV/atom. Its total energy is -56.27 eV per formula unit. As for the density of states at the Fermi level: 0.7486 states/eV/atom. The crystal system is monoclinic.


Entry 4:
Density functional theory data (GGA-PBE) for a relaxed structure of LaAl2Cd.

Lattice parameters (Å, degrees): 5.5408 5.5408 5.5408 130.71 130.71 72.27
Last column: nearest neighbours and their distance in Å.
Fractional coordinates of all 4 atoms:
Cd  0.5000  0.5000  0.0000  8 Al 3.22-3.27, 4 La 3.22
Al  0.0000  0.0000  0.0000  4 La 3.22, 4 Al 3.22, 4 Cd 3.27
La  0.7500  0.2500  0.5000  4 Cd 3.22, 8 Al 3.22-3.27
Al  0.2500  0.7500  0.5000  4 Al 3.22, 4 Cd 3.22, 4 La 3.27

Its total energy is -13.98 eV per formula unit. As for the density of states at the Fermi level: 0.5980 states/eV/atom. The value obtained for the energy of formation from the pure elements is -0.1636 eV/atom. The crystal system is tetragonal.


Entry 5:
Density functional theory data (GGA-PBE) for a relaxed structure of CaTeCl2.

Lattice parameters (Å, degrees): 5.6859 5.6859 5.6859 130.86 130.86 72.04
Last column: nearest neighbours and their distance in Å.
Fractional coordinates of all 4 atoms:
Te  0.2500  0.7500  0.5000  8 Cl 3.30, 4 Ca 3.34
Ca  0.7500  0.2500  0.5000  8 Cl 3.30, 4 Te 3.34
Cl  0.5000  0.5000  0.0000  4 Te 3.30, 4 Ca 3.30, 4 Cl 3.34
Cl  0.0000  0.0000  0.0000  4 Ca 3.30, 4 Te 3.30, 4 Cl 3.34

The value obtained for the raw formation energy is -0.939 eV/atom. Its total energy is -12.59 eV per formula unit. As for the density of states at the Fermi level: 0.6699 states/eV/atom. The excess energy over the best structure of this formula in the dataset is 518 meV per atom. The crystal system is tetragonal.


Entry 6:
Density functional theory data (GGA-PBE) for a relaxed structure of DyErCCl.

Lattice parameters (Å, degrees): 3.6119 3.6120 7.1531 90.00 104.62 120.00
Last column: nearest neighbours and their distance in Å.
Fractional coordinates of all 4 atoms:
Er  0.0935  0.9447  0.0534  3 C 2.41
C  0.3085  0.5522  0.8760  3 Er 2.41, 3 Dy 2.48
Cl  0.9649  0.3805  0.3604  3 Er 2.96, 3 Dy 3.02
Dy  0.5111  0.1534  0.6798  3 C 2.48

The value obtained for the raw formation energy is -1.090 eV/atom. Its total energy is -24.60 eV per formula unit. As for the density of states at the Fermi level: 0.4540 states/eV/atom. The crystal system is trigonal.


Entry 7:
Density functional theory data (GGA-PBE) for a relaxed structure of Ga3Ag3Bi.

Lattice parameters (Å, degrees): 7.2088 7.2088 7.2088 90.00 90.00 90.00
Last column: nearest neighbours and their distance in Å.
Fractional coordinates of all 14 atoms:
Ga  0.0000  0.7500  0.5000  4 Ag 2.55
Ag  0.2500  0.0000  0.5000  4 Ga 2.55
Ag  0.5000  0.7500  0.0000  4 Ga 2.55
Bi  0.0000  0.0000  0.0000  12 Ag 4.03, 12 Ga 4.03
Ag  0.0000  0.5000  0.7500  4 Ga 2.55
Ga  0.5000  0.0000  0.7500  4 Ag 2.55
Ag  0.0000  0.5000  0.2500  4 Ga 2.55
Bi  0.5000  0.5000  0.5000  12 Ga 4.03, 12 Ag 4.03
Ag  0.7500  0.0000  0.5000  4 Ga 2.55
Ag  0.5000  0.2500  0.0000  4 Ga 2.55
Ga  0.7500  0.5000  0.0000  4 Ag 2.55
Ga  0.5000  0.0000  0.2500  4 Ag 2.55
Ga  0.2500  0.5000  0.0000  4 Ag 2.55
Ga  0.0000  0.2500  0.5000  4 Ag 2.55

Its total energy is -18.33 eV per formula unit. As for the density of states at the Fermi level: 0.7986 states/eV/atom. The value obtained for the energy of formation from the pure elements is 0.4550 eV/atom. The crystal system is cubic.


Entry 8:
Density functional theory data (GGA-PBE) for a relaxed structure of FeSnBr6.

Lattice parameters (Å, degrees): 8.6991 8.6991 8.7279 109.52 109.73 109.03
Last column: nearest neighbours and their distance in Å.
Fractional coordinates of all 16 atoms:
Br  0.1927  0.7018  0.8946  2 Fe 2.63
Sn  0.5000  0.5000  0.5000  6 Br 2.74-2.75
Br  0.8281  0.6768  0.5049  2 Sn 2.74
Br  0.4872  0.1731  0.2951  1 Fe 2.57, 1 Sn 2.75
Sn  0.0000  0.0000  0.5000  6 Br 2.74-2.75
Fe  0.5000  0.0000  0.0000  6 Br 2.57-2.63
Br  0.6999  0.5052  0.8238  1 Fe 2.57, 1 Sn 2.75
Br  0.5128  0.8269  0.7049  1 Fe 2.57, 1 Sn 2.75
Br  0.1719  0.3232  0.4951  2 Sn 2.74
Br  0.8780  0.1921  0.7049  1 Fe 2.57, 1 Sn 2.75
Br  0.6814  0.8761  0.1762  1 Fe 2.57, 1 Sn 2.75
Br  0.8073  0.2982  0.1054  2 Fe 2.63
Br  0.3001  0.4948  0.1762  1 Fe 2.57, 1 Sn 2.75
Br  0.1220  0.8079  0.2951  1 Fe 2.57, 1 Sn 2.75
Br  0.3186  0.1239  0.8238  1 Fe 2.57, 1 Sn 2.75
Fe  0.0000  0.5000  0.0000  6 Br 2.57-2.63

The value obtained for the raw formation energy is -0.442 eV/atom. Its total energy is -26.04 eV per formula unit. As for the density of states at the Fermi level: 0.2975 states/eV/atom. The crystal system is monoclinic.


Entry 9:
Density functional theory data (GGA-PBE) for a relaxed structure of Ta2CoRu.

Lattice parameters (Å, degrees): 4.4085 4.4085 4.4085 60.00 60.00 60.00
Last column: nearest neighbours and their distance in Å.
Fractional coordinates of all 4 atoms:
Co  0.5000  0.5000  0.5000  4 Ta 2.70, 4 Ru 2.70
Ru  0.7500  0.7500  0.7500  4 Co 2.70, 4 Ta 2.70
Ta  0.0000  0.0000  0.0000  4 Ru 2.70, 4 Ta 2.70
Ta  0.2500  0.2500  0.2500  4 Ta 2.70, 4 Co 2.70

Its total energy is -40.09 eV per formula unit. As for the density of states at the Fermi level: 1.0677 states/eV/atom. The value obtained for the energy of formation from the pure elements is -0.0005 eV/atom. The crystal system is cubic.


Entry 10:
Density functional theory data (GGA-PBE) for a relaxed structure of Pm2Y7Er3.

Lattice parameters (Å, degrees): 3.5990 5.7928 18.7142 93.71 90.00 90.00
Last column: nearest neighbours and their distance in Å.
Fractional coordinates of all 12 atoms:
Y  0.5000  0.7416  0.4625  1 Pm 3.13, 2 Y 3.21-3.22
Y  0.0000  0.3222  0.8577  2 Er 3.32, 7 Y 3.35-3.60, 2 Pm 3.37
Pm  0.5000  0.7040  0.2949  3 Y 3.13-3.37
Er  0.0000  0.2194  0.3689  2 Er 3.60, 8 Y 3.63-3.99, 4 Pm 3.68
Y  0.0000  0.6778  0.1423  2 Er 3.32, 7 Y 3.35-3.60, 2 Pm 3.37
Er  0.5000  0.5000  0.0000  8 Y 3.32-3.41, 2 Er 3.60
Y  0.0000  0.0000  0.0000  4 Y 3.35-3.60, 4 Er 3.41
Y  0.5000  0.2584  0.5375  1 Pm 3.13, 2 Y 3.21-3.22
Y  0.5000  0.1816  0.1780  6 Y 3.46-3.60, 2 Pm 3.62-3.64
Pm  0.5000  0.2960  0.7051  3 Y 3.13-3.37
Y  0.5000  0.8184  0.8220  6 Y 3.46-3.60, 2 Pm 3.62-3.64
Er  0.0000  0.7806  0.6311  2 Er 3.60, 8 Y 3.63-3.99, 4 Pm 3.68

Its total energy is -67.37 eV per formula unit. As for the density of states at the Fermi level: 1.2918 states/eV/atom. The excess energy over the best structure of this formula in the dataset is 0 meV per atom. The value obtained for the energy of formation from the pure elements is 0.0893 eV/atom. The crystal system is monoclinic.